4
Lattice="1.873 0.000 11.657 -0.937 1.622 11.657 -0.937 -1.622 11.657" Properties=species:S:1:pos:R:3 comment="TiTeCl2, optimized geometry, DFT PBE" e_above_lowest_polymorph_ev_per_atom=0.000 e_form_raw_ev_per_atom=-0.95 total_energy_ev_per_cell=-18.512 pbc="T T T"
Cl 0.000 0.000 4.221
Cl 0.000 0.000 30.749
Ti 0.000 0.000 17.485
Te 0.000 0.000 0.000